RbNa6Hg3: relaxed, PBE.

Cell and atoms, written as POSCAR:
```
RbNa6Hg3
1.0
9.793 0.000 0.000
0.000 5.228 0.000
-2.532 0.000 13.328
Rb Na Hg
2 12 6
direct
0.069 0.250 0.235
0.931 0.750 0.765
0.105 0.250 0.565
0.263 0.750 0.020
0.323 0.750 0.689
0.361 0.250 0.883
0.405 0.750 0.277
0.406 0.250 0.459
0.594 0.750 0.541
0.595 0.250 0.723
0.639 0.750 0.117
0.677 0.250 0.311
0.737 0.250 0.980
0.895 0.750 0.435
0.069 0.250 0.962
0.225 0.750 0.454
0.428 0.250 0.129
0.572 0.750 0.871
0.775 0.250 0.546
0.931 0.750 0.038
```

Values from the calculation:
Crystal system: monoclinic
Energy, eV/f.u.: -11.3
ρ, Mg/m³: 4.0
Total moment, μB/atom: 0.00
ΔH_f (0 K), meV/atom: -152
DOS(E_F), states/eV per atom: 0.49